Density functional theory data (PBE-GGA) for Mg2ZnTc after structural relaxation.

Unit cell a=9.509 b=9.509 c=9.509 alpha=17.54 beta=17.54 gamma=17.54
Each line ends with the local moment (μB).
Fractional positions:
Mg1 0.503 0.503 0.503  0.00
Tc1 0.250 0.250 0.250  0.32
Mg2 0.997 0.997 0.997  0.00
Zn1 0.750 0.750 0.750  0.00

Output
Energy above the lowest structure with this stoichiometry = 121.3 meV per atom
ΔH_f (0 K) = 0.21 eV per atom
Magnetization = 0.3 μB/f.u.
Crystal system = trigonal
Space group = R-3m

Density functional theory data (PBE-GGA) for KGa2Pt2 after structural relaxation.

Unit cell a=4.211 b=4.211 c=6.503 alpha=71.11 beta=71.11 gamma=90.00
Fractional positions:
Ga1 0.626 0.626 0.747
Ga2 0.374 0.374 0.253
Pt1 0.250 0.750 0.500
Pt2 0.750 0.250 0.500
K1 0.000 0.000 0.000

Output
Energy above the lowest structure with this stoichiometry = 53.9 meV per atom
ΔH_f (0 K) = -0.49 eV per atom
Magnetization = 0.0 μB/f.u.
Crystal system = tetragonal
Space group = I4/mmm

Density functional theory data (PBE-GGA) for Co4CuPd after structural relaxation.

Unit cell a=4.717 b=4.717 c=4.717 alpha=60.00 beta=60.00 gamma=60.00
Each line ends with the local moment (μB).
Fractional positions:
Co1 0.625 0.124 0.625  1.82
Co2 0.625 0.625 0.625  1.82
Cu1 0.000 0.000 0.000  0.07
Pd1 0.250 0.250 0.250  0.28
Co3 0.625 0.625 0.124  1.82
Co4 0.124 0.625 0.625  1.82

Output
ΔH_f (0 K) = 0.17 eV per atom
Magnetization = 7.5 μB/f.u.
Crystal system = cubic
Space group = F-43m

Density functional theory data (PBE-GGA) for LaEuCoPd after structural relaxation.

Unit cell a=5.055 b=5.055 c=5.055 alpha=60.00 beta=60.00 gamma=60.00
Each line ends with the local moment (μB).
Fractional positions:
La1 0.750 0.750 0.750  0.14
Eu1 0.250 0.250 0.250  6.82
Co1 0.000 0.000 0.000  -0.98
Pd1 0.500 0.500 0.500  -0.02

Output
ΔH_f (0 K) = -0.25 eV per atom
Magnetization = 6.4 μB/f.u.
Crystal system = cubic
Space group = F-43m

Density functional theory data (PBE-GGA) for Cs2Os2Pt after structural relaxation.

Unit cell a=3.510 b=3.510 c=12.038 alpha=81.62 beta=81.62 gamma=90.00
Fractional positions:
Pt1 0.000 0.000 0.000
Cs1 0.604 0.604 0.793
Cs2 0.396 0.396 0.207
Os1 0.750 0.250 0.500
Os2 0.250 0.750 0.500

Output
Energy above the lowest structure with this stoichiometry = 0.0 meV per atom
ΔH_f (0 K) = 0.95 eV per atom
Magnetization = 0.0 μB/f.u.
Crystal system = tetragonal
Space group = I4/mmm

Density functional theory data (PBE-GGA) for ScTeAuI2 after structural relaxation.

Unit cell a=5.514 b=5.514 c=5.629 alpha=90.00 beta=90.00 gamma=90.00
Each line ends with the local moment (μB).
Fractional positions:
I1 0.000 0.500 0.000  -0.03
Sc1 0.500 0.500 0.500  0.72
Au1 0.000 0.000 0.000  -0.01
I2 0.500 0.000 0.000  -0.03
Te1 0.000 0.000 0.500  -0.07

Output
Uncorrected formation energy = 189 meV/atom
Energy above the lowest structure with this stoichiometry = 355.6 meV per atom
Magnetization = 0.8 μB/f.u.
Crystal system = tetragonal
Space group = P4/mmm

Density functional theory data (PBE-GGA) for LaAgRu2 after structural relaxation.

Unit cell a=5.807 b=5.807 c=5.807 alpha=148.34 beta=130.88 gamma=59.63
Each line ends with the local moment (μB).
Fractional positions:
La1 0.759 0.259 0.500  -0.02
Ru1 0.028 0.028 0.000  0.78
Ag1 0.478 0.478 0.000  0.03
Ru2 0.235 0.735 0.500  0.29

Output
Energy above the lowest structure with this stoichiometry = 122.0 meV per atom
ΔH_f (0 K) = 0.31 eV per atom
Magnetization = 1.1 μB/f.u.
Crystal system = orthorhombic
Space group = Imm2

Density functional theory data (PBE-GGA) for KGdTiO4 after structural relaxation.

Unit cell a=5.423 b=5.516 c=13.168 alpha=90.00 beta=90.00 gamma=90.00
Each line ends with the local moment (μB).
Fractional positions:
O1 0.000 0.750 0.228  0.00
O2 0.750 0.432 0.938  -0.01
O3 0.250 0.068 0.938  -0.01
O4 0.250 0.471 0.381  0.00
K1 0.250 0.982 0.404  0.00
Gd1 0.750 0.024 0.898  6.93
O5 0.750 0.932 0.062  -0.01
Gd2 0.250 0.476 0.898  6.93
O6 0.000 0.250 0.772  0.00
Ti1 0.750 0.506 0.753  0.00
O7 0.500 0.250 0.772  0.00
O8 0.500 0.750 0.228  0.00
O9 0.000 0.750 0.796  0.00
O10 0.500 0.750 0.796  0.00
O11 0.250 0.971 0.619  0.00
O12 0.750 0.029 0.381  0.00
Gd3 0.750 0.524 0.102  6.93
K2 0.750 0.018 0.596  0.00
Ti2 0.250 0.494 0.247  0.00
Ti3 0.250 0.994 0.753  0.00
O13 0.750 0.529 0.619  0.00
O14 0.250 0.568 0.062  -0.01
Gd4 0.250 0.976 0.102  6.93
K3 0.750 0.518 0.404  0.00
O15 0.500 0.250 0.204  0.00
O16 0.000 0.250 0.204  0.00
Ti4 0.750 0.006 0.247  0.00
K4 0.250 0.482 0.596  0.00

Output
Uncorrected formation energy = -2970 meV/atom
Magnetization = 7.0 μB/f.u.
Crystal system = orthorhombic
Space group = Pbcm

Density functional theory data (PBE-GGA) for NiBS2Cl after structural relaxation.

Unit cell a=4.398 b=4.398 c=4.806 alpha=90.00 beta=90.00 gamma=90.00
Each line ends with the local moment (μB).
Fractional positions:
S1 0.000 0.500 0.000  0.19
Ni1 0.000 0.000 0.000  0.27
B1 0.500 0.500 0.500  0.00
S2 0.500 0.000 0.000  0.19
Cl1 0.000 0.000 0.500  0.04

Output
Uncorrected formation energy = 1073 meV/atom
Energy above the lowest structure with this stoichiometry = 265.8 meV per atom
Magnetization = 0.9 μB/f.u.
Crystal system = tetragonal
Space group = P4/mmm

Density functional theory data (PBE-GGA) for TcB2Ir2 after structural relaxation.

Unit cell a=6.456 b=6.456 c=2.690 alpha=90.00 beta=90.00 gamma=90.00
Fractional positions:
B1 0.654 0.154 0.000
Ir1 0.348 0.152 0.500
Tc1 0.000 0.000 0.000
Ir2 0.652 0.848 0.500
Tc2 0.500 0.500 0.000
B2 0.154 0.346 0.000
Ir3 0.152 0.652 0.500
B3 0.346 0.846 0.000
Ir4 0.848 0.348 0.500
B4 0.846 0.654 0.000

Output
Energy above the lowest structure with this stoichiometry = 0.0 meV per atom
ΔH_f (0 K) = 0.04 eV per atom
Magnetization = 0.0 μB/f.u.
Crystal system = tetragonal
Space group = P4/mbm

Copy entry 10 word for word.
Density functional theory data (PBE-GGA) for TcB2Ir2 after structural relaxation.

Unit cell a=6.456 b=6.456 c=2.690 alpha=90.00 beta=90.00 gamma=90.00
Fractional positions:
B1 0.654 0.154 0.000
Ir1 0.348 0.152 0.500
Tc1 0.000 0.000 0.000
Ir2 0.652 0.848 0.500
Tc2 0.500 0.500 0.000
B2 0.154 0.346 0.000
Ir3 0.152 0.652 0.500
B3 0.346 0.846 0.000
Ir4 0.848 0.348 0.500
B4 0.846 0.654 0.000

Output
Energy above the lowest structure with this stoichiometry = 0.0 meV per atom
ΔH_f (0 K) = 0.04 eV per atom
Magnetization = 0.0 μB/f.u.
Crystal system = tetragonal
Space group = P4/mbm

Question: Among the records above, which one has the highest magnetization?
Answer: Co4CuPd